# DyZrTe

An optimized crystal structure of DyZrTe (PBE, the Alexandria database).

Cell: 3.7296 3.7296 13.6242 Å, 90.00 90.00 120.00°
Space group P-6m2 (No. 187)
One atom of each set of equivalent atoms:
Dy 0.0000 0.0000 0.1884 (multiplicity 2)
Zr 0.0000 0.0000 0.5000 (multiplicity 1)
Zr 0.3333 0.6667 0.0000 (multiplicity 1)
Te 0.3333 0.6667 0.3563 (multiplicity 2)

Output
**ΔE_f (raw)**: -584 meV per atom
**ρ**: 7.716 Mg/m³
**Energy relative to the lowest polymorph listed for this composition**: 0 meV/atom